No. 1
Material: MgCu2Mo
Method: DFT, PBE-GGA
State: optimized geometry

Unit cell a=2.657 b=3.831 c=5.754 alpha=90.00 beta=90.00 gamma=90.00
Positions (direct):
Mg: 0.500 0.500 0.250
Cu: 0.000 0.000 0.985
Mo: 0.500 0.500 0.750
Cu: 0.000 0.000 0.515

***

No. 2
Material: MgCu2Mo
Method: DFT, PBE-GGA
State: optimized geometry

Unit cell a=4.355 b=4.355 c=4.355 alpha=60.00 beta=60.00 gamma=60.00
Positions (direct):
Mo: 0.500 0.500 0.500
Cu: 0.250 0.250 0.250
Mg: 0.000 0.000 0.000
Cu: 0.750 0.750 0.750

***

no.,energy (hartree per atom),M_tot (μB per atom)
1,-0.1819,0.07
2,-0.1784,0.38